4
Lattice="0.000 3.660 3.660 3.660 0.000 3.660 3.660 3.660 0.000" Properties=species:S:1:pos:R:3 comment="PBE-GGA CaWI2, relaxed" space_group=Fm-3m relative_energy_mev_per_atom=9 pbc="T T T"
I 1.830 1.830 1.830
I 5.490 5.490 5.490
Ca 0.000 0.000 0.000
W 3.660 3.660 3.660



5
Lattice="5.587 0.000 0.000 0.000 5.587 0.000 0.000 0.000 5.587" Properties=species:S:1:pos:R:3 comment="PBE-GGA Ca3WI, relaxed" space_group=Pm-3m relative_energy_mev_per_atom=0 pbc="T T T"
I 2.794 2.794 2.794
Ca 0.000 2.794 0.000
Ca 0.000 0.000 2.794
Ca 2.794 0.000 0.000
W 0.000 0.000 0.000



5
Lattice="5.779 0.000 0.000 0.000 7.380 0.000 0.000 0.000 5.779" Properties=species:S:1:pos:R:3 comment="PBE-GGA CaYWI2, relaxed" space_group=P4/mmm pbc="T T T"
I 0.000 0.000 2.889
I 2.889 0.000 0.000
Y 0.000 0.000 0.000
Ca 0.000 3.690 0.000
W 2.889 3.690 2.889



4
Lattice="0.000 4.209 4.209 4.209 0.000 4.209 4.209 4.209 0.000" Properties=species:S:1:pos:R:3 comment="PBE-GGA Ca2YI, relaxed" space_group=Fm-3m relative_energy_mev_per_atom=560 pbc="T T T"
I 4.209 4.209 4.209
Y 0.000 0.000 0.000
Ca 2.104 2.104 2.104
Ca 6.313 6.313 6.313



5
Lattice="6.359 0.000 0.000 0.000 6.359 0.000 0.000 0.000 6.359" Properties=species:S:1:pos:R:3 comment="PBE-GGA Ca3YI, relaxed" space_group=Pm-3m relative_energy_mev_per_atom=516 pbc="T T T"
I 3.180 3.180 3.180
Y 0.000 0.000 0.000
Ca 0.000 3.180 0.000
Ca 0.000 0.000 3.180
Ca 3.180 0.000 0.000



8
Lattice="9.412 0.000 0.000 0.000 9.412 0.000 4.706 4.706 3.408" Properties=species:S:1:pos:R:3 comment="PBE-GGA Ca2YI, relaxed" space_group=I-42d relative_energy_mev_per_atom=370 pbc="T T T"
I 0.000 0.000 0.000
I 9.412 4.706 1.704
Y 4.706 4.706 0.000
Y 4.706 9.412 1.704
Ca 7.511 2.353 0.852
Ca 1.900 7.059 0.852
Ca 7.059 6.606 2.556
Ca 11.765 12.217 2.556



4
Lattice="3.931 0.000 0.000 1.965 3.404 0.000 1.965 1.135 10.772" Properties=species:S:1:pos:R:3 comment="PBE-GGA Ca2YI, relaxed" space_group=R-3m relative_energy_mev_per_atom=0 pbc="T T T"
I 0.000 0.000 0.000
Y 3.931 2.269 5.386
Ca 5.896 3.404 8.301
Ca 1.965 1.135 2.471



8
Lattice="-7.297 -5.086 -2.396 5.583 -6.093 -4.070 -0.621 -7.260 -0.407" Properties=species:S:1:pos:R:3 comment="PBE-GGA CaY2I, relaxed" space_group=I-42d relative_energy_mev_per_atom=0 pbc="T T T"
I 0.000 0.000 0.000
I -4.387 -8.968 -3.018
Y -4.402 -6.023 -2.234
Y 2.807 -5.991 -2.819
Y -1.402 -9.317 -2.516
Y -1.671 -15.548 -6.178
Ca -0.857 -5.590 -3.233
Ca 2.053 -9.472 -3.855



The total magnetization results, record by record, are as follows: 1.988, 0.000, 4.882, 0.000, 3.843, 2.316, 1.097, 0.000 Bohr magnetons per cell.
The energy relative to the elements, uncorrected results, record by record, are as follows: 61.3, 63.0, 97.1, 9.8, 55.9, -8.5, -44.2, -5.8 kJ per mole of atoms.